Density functional theory data (GGA-PBE) for a relaxed structure of PmEr5Tm7.

Cell lengths 6.642, 8.577, 8.577 Å; angles 79.31, 67.22, 67.22 degrees
Sites, in units of the cell vectors:
1 Pm 0.967 0.033 0.033
2 Er 0.535 0.004 0.461
3 Er 0.001 0.004 0.461
4 Er 0.535 0.461 0.004
5 Er 0.001 0.461 0.004
6 Er 0.770 0.730 0.730
7 Tm 0.578 0.422 0.422
8 Tm 0.272 0.728 0.728
9 Tm 0.020 0.310 0.651
10 Tm 0.020 0.651 0.310
11 Tm 0.267 0.233 0.233
12 Tm 0.518 0.812 0.153
13 Tm 0.518 0.153 0.812

Calculated values
**Crystal system**: orthorhombic
**Space-group type**: No. 44
**ΔE_f**: 0.2588 eV per atom

Density functional theory data (GGA-PBE) for a relaxed structure of Pm5Nd2Tm4.

Cell lengths 3.527, 9.119, 12.723 Å; angles 111.00, 97.97, 90.00 degrees
Sites, in units of the cell vectors:
1 Pm 0.857 0.056 0.715
2 Pm 0.857 0.659 0.715
3 Pm 0.143 0.341 0.285
4 Pm 0.143 0.944 0.285
5 Pm 0.500 0.000 0.000
6 Nd 0.268 0.268 0.536
7 Nd 0.732 0.732 0.464
8 Tm 0.000 0.316 0.000
9 Tm 0.596 0.596 0.192
10 Tm 0.000 0.684 0.000
11 Tm 0.404 0.404 0.808

Calculated values
**Crystal system**: orthorhombic
**Space-group type**: No. 71
**ΔE_f**: 0.1714 eV per atom

Density functional theory data (GGA-PBE) for a relaxed structure of TiAuSe2N.

Cell lengths 5.106, 5.106, 3.726 Å; angles 90.00, 90.00, 90.00 degrees
Sites, in units of the cell vectors:
1 N 0.000 0.000 0.500
2 Au 0.500 0.500 0.500
3 Se 0.000 0.500 0.000
4 Se 0.500 0.000 0.000
5 Ti 0.000 0.000 0.000

Calculated values
**Crystal system**: tetragonal
**Space-group type**: No. 123
**Formation energy (no corrections)**: 0.140 eV per atom

Density functional theory data (GGA-PBE) for a relaxed structure of TbSn4Pd2.

Cell lengths 4.443, 7.532, 19.032 Å; angles 90.00, 90.00, 90.00 degrees
Sites, in units of the cell vectors:
1 Tb 0.750 0.967 0.643
2 Tb 0.250 0.033 0.357
3 Tb 0.250 0.467 0.857
4 Tb 0.750 0.533 0.143
5 Sn 0.250 0.249 0.693
6 Sn 0.750 0.751 0.307
7 Sn 0.750 0.749 0.807
8 Sn 0.250 0.251 0.193
9 Sn 0.250 0.673 0.682
10 Sn 0.750 0.327 0.318
11 Sn 0.750 0.173 0.818
12 Sn 0.250 0.827 0.182
13 Sn 0.250 0.132 0.534
14 Sn 0.750 0.868 0.466
15 Sn 0.750 0.632 0.966
16 Sn 0.250 0.368 0.034
17 Sn 0.250 0.492 0.434
18 Sn 0.750 0.508 0.566
19 Sn 0.750 0.992 0.066
20 Sn 0.250 0.008 0.934
21 Pd 0.250 0.763 0.540
22 Pd 0.750 0.237 0.460
23 Pd 0.750 0.263 0.960
24 Pd 0.250 0.737 0.040
25 Pd 0.250 0.954 0.784
26 Pd 0.750 0.046 0.216
27 Pd 0.750 0.454 0.716
28 Pd 0.250 0.546 0.284

Calculated values
**Crystal system**: orthorhombic
**Space-group type**: No. 62
**ΔE_f**: -0.5469 eV per atom

Density functional theory data (GGA-PBE) for a relaxed structure of KSrP.

Cell lengths 40.872, 13.908, 13.908 Å; angles 160.04, 168.46, 11.54 degrees
Sites, in units of the cell vectors:
1 Sr 0.694 0.103 0.897
2 Sr 0.957 0.103 0.897
3 K 0.526 0.110 0.890
4 K 0.098 0.101 0.899
5 P 0.326 0.103 0.897
6 P 0.385 0.101 0.899

Calculated values
**Crystal system**: monoclinic
**Space-group type**: No. 8
**ΔE_f**: -0.5614 eV per atom

Density functional theory data (GGA-PBE) for a relaxed structure of NiMo2P.

Cell lengths 2.791, 2.791, 7.431 Å; angles 90.00, 90.00, 105.98 degrees
Sites, in units of the cell vectors:
1 Ni 0.000 0.000 0.463
2 Mo 0.000 0.000 0.025
3 Mo 0.500 0.500 0.736
4 P 0.500 0.500 0.275

Calculated values
**Crystal system**: orthorhombic
**Space-group type**: No. 35
**ΔE_f**: 0.0384 eV per atom

Density functional theory data (GGA-PBE) for a relaxed structure of CsZn2InF8.

Cell lengths 5.493, 5.493, 8.968 Å; angles 72.17, 72.17, 60.00 degrees
Sites, in units of the cell vectors:
1 Cs 0.500 0.500 0.500
2 Zn 0.257 0.257 0.230
3 Zn 0.743 0.743 0.770
4 In 0.000 0.000 0.000
5 F 0.183 0.183 0.452
6 F 0.631 0.256 0.146
7 F 0.817 0.817 0.548
8 F 0.967 0.631 0.146
9 F 0.033 0.369 0.854
10 F 0.256 0.967 0.146
11 F 0.744 0.033 0.854
12 F 0.369 0.744 0.854

Calculated values
**Crystal system**: trigonal
**Space-group type**: No. 148
**Formation energy (no corrections)**: -2.431 eV per atom

Density functional theory data (GGA-PBE) for a relaxed structure of Nd2Dy2Tl3.

Cell lengths 3.811, 8.746, 6.464 Å; angles 93.57, 72.86, 90.05 degrees
Sites, in units of the cell vectors:
1 Nd 0.708 0.841 0.585
2 Nd 0.292 0.159 0.415
3 Dy 0.562 0.288 0.877
4 Dy 0.438 0.712 0.123
5 Tl 0.000 0.000 0.000
6 Tl 0.852 0.455 0.296
7 Tl 0.148 0.545 0.704

Calculated values
**Crystal system**: monoclinic
**Space-group type**: No. 12
**ΔE_f**: -0.2520 eV per atom

Density functional theory data (GGA-PBE) for a relaxed structure of ReMo2Ir.

Cell lengths 4.835, 4.835, 2.771 Å; angles 90.00, 90.00, 109.59 degrees
Sites, in units of the cell vectors:
1 Ir 0.000 0.500 0.500
2 Mo 0.000 0.000 0.000
3 Mo 0.500 0.500 0.000
4 Re 0.500 0.000 0.500

Calculated values
**Crystal system**: orthorhombic
**Space-group type**: No. 65
**ΔE_f**: -0.0613 eV per atom

Density functional theory data (GGA-PBE) for a relaxed structure of Mn2ReCl.

Cell lengths 2.868, 4.654, 4.351 Å; angles 90.00, 90.00, 90.00 degrees
Sites, in units of the cell vectors:
1 Re 0.500 0.000 0.500
2 Mn 0.000 0.000 0.000
3 Mn 0.500 0.500 0.000
4 Cl 0.000 0.500 0.500

Calculated values
**Crystal system**: orthorhombic
**Space-group type**: No. 47
**Formation energy (no corrections)**: 0.863 eV per atom

Density functional theory data (GGA-PBE) for a relaxed structure of Tb8CeY3.

Cell lengths 8.346, 8.346, 8.346 Å; angles 94.36, 117.51, 117.51 degrees
Sites, in units of the cell vectors:
1 Tb 0.465 0.204 0.204
2 Tb 0.535 0.739 0.739
3 Tb 0.000 0.796 0.261
4 Tb 0.000 0.261 0.796
5 Tb 0.248 0.361 0.361
6 Tb 0.752 0.112 0.112
7 Tb 0.000 0.639 0.888
8 Tb 0.000 0.888 0.639
9 Ce 0.000 0.000 0.000
10 Y 0.500 0.750 0.250
11 Y 0.500 0.250 0.750
12 Y 0.000 0.500 0.500

Calculated values
**Crystal system**: tetragonal
**Space-group type**: No. 121
**ΔE_f**: 0.6117 eV per atom

Density functional theory data (GGA-PBE) for a relaxed structure of Ho5Mg.

Cell lengths 9.289, 9.289, 5.565 Å; angles 90.00, 90.00, 157.96 degrees
Sites, in units of the cell vectors:
1 Ho 0.002 0.998 0.500
2 Ho 0.671 0.329 0.500
3 Ho 0.332 0.668 0.500
4 Ho 0.554 0.446 0.000
5 Ho 0.886 0.114 0.000
6 Mg 0.222 0.778 0.000

Calculated values
**Crystal system**: orthorhombic
**Space-group type**: No. 38
**ΔE_f**: 0.0104 eV per atom